## i
Compound: Sc3HgPb
Source: Alexandria via LeMat-Bulk
Functional: PBE
Structure: relaxed

The space group is Pm-3m (No. 221) and the conventional cell measures 5.2657, 5.2657 and 5.2657 Å, with angles of 90.00, 90.00 and 90.00 degrees. Symmetry generates all atoms from Sc at (0.0000, 0.0000, 0.5000), Hg at (0.0000, 0.0000, 0.0000) and Pb at (0.5000, 0.5000, 0.5000).

The value obtained for the density of states at the Fermi level is 0.765 states/eV/atom. The value obtained for the total moment is 0.00 μB per formula unit.


## ii
Compound: Sc3HgPb
Source: Alexandria via LeMat-Bulk
Functional: PBE
Structure: relaxed

The space group is Pm-3m (No. 221) and the conventional cell measures 5.4048, 5.4048 and 5.4048 Å, with angles of 90.00, 90.00 and 90.00 degrees. Symmetry generates all atoms from Sc at (0.0000, 0.0000, 0.5000), Hg at (0.5000, 0.5000, 0.5000) and Pb at (0.0000, 0.0000, 0.0000).

The value obtained for the density of states at the Fermi level is 1.577 states/eV/atom. The value obtained for the total moment is 1.15 μB per formula unit.


Most stable one: i, least stable one: ii.


## i
Compound: Sc2Hg2Pb
Source: Alexandria via LeMat-Bulk
Functional: PBE
Structure: relaxed

The space group is I4/mmm (No. 139) and the conventional cell measures 4.1363, 4.1363 and 14.9377 Å, with angles of 90.00, 90.00 and 90.00 degrees. Symmetry generates all atoms from Sc at (0.0000, 0.0000, 0.0968), Hg at (0.0000, 0.5000, 0.2500) and Pb at (0.0000, 0.0000, 0.5000).

The value obtained for the density of states at the Fermi level is 1.221 states/eV/atom. The value obtained for the total moment is 0.89 μB per formula unit.


## ii
Compound: Sc2Hg2Pb
Source: Alexandria via LeMat-Bulk
Functional: PBE
Structure: relaxed

The space group is P4/mbm (No. 127) and the conventional cell measures 8.0567, 8.0567 and 3.7489 Å, with angles of 90.00, 90.00 and 90.00 degrees. Symmetry generates all atoms from Sc at (0.1565, 0.3435, 0.0000), Hg at (0.1419, 0.6419, 0.5000) and Pb at (0.0000, 0.0000, 0.0000).

The value obtained for the density of states at the Fermi level is 0.686 states/eV/atom. The value obtained for the total moment is 0.00 μB per formula unit.


## iii
Compound: Sc2Hg2Pb
Source: Alexandria via LeMat-Bulk
Functional: PBE
Structure: relaxed

The space group is P4/mbm (No. 127) and the conventional cell measures 8.2193, 8.2193 and 3.5312 Å, with angles of 90.00, 90.00 and 90.00 degrees. Symmetry generates all atoms from Sc at (0.1680, 0.3320, 0.0000), Hg at (0.1294, 0.6294, 0.5000) and Pb at (0.0000, 0.0000, 0.5000).

The value obtained for the density of states at the Fermi level is 1.104 states/eV/atom. The value obtained for the total moment is 0.00 μB per formula unit.


Most stable one: iii, least stable one: i.


## i
Compound: Sc2HgPb2
Source: Alexandria via LeMat-Bulk
Functional: PBE
Structure: relaxed

The space group is P4/mbm (No. 127) and the conventional cell measures 8.4312, 8.4312 and 3.6328 Å, with angles of 90.00, 90.00 and 90.00 degrees. Symmetry generates all atoms from Sc at (0.1365, 0.3635, 0.0000), Hg at (0.0000, 0.0000, 0.0000) and Pb at (0.1674, 0.6674, 0.5000).

The value obtained for the density of states at the Fermi level is 0.871 states/eV/atom. The value obtained for the total moment is 0.00 μB per formula unit.


## ii
Compound: Sc2HgPb2
Source: Alexandria via LeMat-Bulk
Functional: PBE
Structure: relaxed

The space group is I4/mmm (No. 139) and the conventional cell measures 5.5915, 5.5915 and 9.7039 Å, with angles of 90.00, 90.00 and 90.00 degrees. Symmetry generates all atoms from Sc at (0.0000, 0.5000, 0.2500), Hg at (0.0000, 0.0000, 0.0000) and Pb at (0.0000, 0.0000, 0.3394).

The value obtained for the density of states at the Fermi level is 0.461 states/eV/atom. The value obtained for the total moment is 0.00 μB per formula unit.


Most stable one: i, least stable one: ii.


## i
Compound: HgPbSe
Source: Alexandria via LeMat-Bulk
Functional: PBE
Structure: relaxed

The space group is C2/m (No. 12) and the conventional cell measures 10.3031, 4.5499 and 8.9550 Å, with angles of 90.00, 106.45 and 90.00 degrees. Symmetry generates all atoms from Hg at (0.1242, 0.0000, 0.4329), Pb at (0.2043, 0.5000, 0.1642) and Se at (0.1118, 0.5000, 0.8282).

The value obtained for the total moment is 0.00 μB per formula unit.


## ii
Compound: HgPbSe
Source: Alexandria via LeMat-Bulk
Functional: PBE
Structure: relaxed

The space group is Fmm2 (No. 42) and the conventional cell measures 5.4010, 5.4082 and 12.6865 Å, with angles of 90.00, 90.00 and 90.00 degrees. Symmetry generates all atoms from Hg at (0.0000, 0.0000, 0.0000), Pb at (0.0000, 0.0000, 0.2909) and Se at (0.0000, 0.0000, 0.6884).

The value obtained for the density of states at the Fermi level is 0.115 states/eV/atom. The value obtained for the total moment is 0.00 μB per formula unit.


## iii
Compound: HgPbSe
Source: Alexandria via LeMat-Bulk
Functional: PBE
Structure: relaxed

The space group is F-43m (No. 216) and the conventional cell measures 7.2836, 7.2836 and 7.2836 Å, with angles of 90.00, 90.00 and 90.00 degrees. Symmetry generates all atoms from Hg at (0.0000, 0.0000, 0.0000), Pb at (0.2500, 0.2500, 0.2500) and Se at (0.0000, 0.0000, 0.5000).

The value obtained for the total moment is 0.00 μB per formula unit.


## iv
Compound: HgPbSe
Source: Alexandria via LeMat-Bulk
Functional: PBE
Structure: relaxed

The space group is C2/m (No. 12) and the conventional cell measures 6.1822, 6.2299 and 9.3357 Å, with angles of 90.00, 90.49 and 90.00 degrees. Symmetry generates all atoms from Hg at (0.2500, 0.2500, 0.0000), Pb at (0.2480, 0.0000, 0.3436) and Se at (0.2480, 0.5000, 0.3464).

The value obtained for the density of states at the Fermi level is 0.158 states/eV/atom. The value obtained for the total moment is 0.00 μB per formula unit.


Most stable one: iv, least stable one: iii.


## i
Compound: HgPb2Se2
Source: Alexandria via LeMat-Bulk
Functional: PBE
Structure: relaxed

The space group is P4/mbm (No. 127) and the conventional cell measures 8.5357, 8.5357 and 3.9085 Å, with angles of 90.00, 90.00 and 90.00 degrees. Symmetry generates all atoms from Hg at (0.0000, 0.0000, 0.0000), Pb at (0.1507, 0.3493, 0.5000) and Se at (0.1472, 0.6472, 0.0000).

The value obtained for the density of states at the Fermi level is 0.107 states/eV/atom. The value obtained for the total moment is 0.00 μB per formula unit.


## ii
Compound: HgPb2Se2
Source: Alexandria via LeMat-Bulk
Functional: PBE
Structure: relaxed

The space group is P4/mbm (No. 127) and the conventional cell measures 8.5377, 8.5377 and 3.9418 Å, with angles of 90.00, 90.00 and 90.00 degrees. Symmetry generates all atoms from Hg at (0.0000, 0.0000, 0.0000), Pb at (0.1457, 0.3543, 0.0000) and Se at (0.1507, 0.6507, 0.5000).

The value obtained for the density of states at the Fermi level is 0.000 states/eV/atom. The value obtained for the total moment is 0.00 μB per formula unit.


Most stable one: ii, least stable one: i.


## i
Compound: HgPb2Se
Source: Alexandria via LeMat-Bulk
Functional: PBE
Structure: relaxed

The space group is R3m (No. 160, hexagonal axes) and the conventional cell measures 3.9501, 3.9501 and 26.5915 Å, with angles of 90.00, 90.00 and 120.00 degrees. Symmetry generates all atoms from Hg at (0.0000, 0.0000, 0.0000), Pb at (0.0000, 0.0000, 0.5754), Pb at (0.0000, 0.0000, 0.7588) and Se at (0.0000, 0.0000, 0.1680).

The value obtained for the density of states at the Fermi level is 0.525 states/eV/atom. The value obtained for the total moment is 0.00 μB per formula unit.


## ii
Compound: HgPb2Se
Source: Alexandria via LeMat-Bulk
Functional: PBE
Structure: relaxed

The space group is C2/m (No. 12) and the conventional cell measures 7.2606, 7.9727 and 3.8272 Å, with angles of 90.00, 93.41 and 90.00 degrees. Symmetry generates all atoms from Hg at (0.0000, 0.0000, 0.0000), Pb at (0.2500, 0.2500, 0.5000) and Se at (0.0000, 0.5000, 0.0000).

The value obtained for the density of states at the Fermi level is 0.452 states/eV/atom. The value obtained for the total moment is 0.00 μB per formula unit.


## iii
Compound: HgPb2Se
Source: Alexandria via LeMat-Bulk
Functional: PBE
Structure: relaxed

The space group is I-42d (No. 122) and the conventional cell measures 7.1237, 7.1237 and 12.2492 Å, with angles of 90.00, 90.00 and 90.00 degrees. Symmetry generates all atoms from Hg at (0.0000, 0.0000, 0.0000), Pb at (0.2411, 0.2500, 0.6250) and Se at (0.0000, 0.0000, 0.5000).

The value obtained for the density of states at the Fermi level is 0.341 states/eV/atom. The value obtained for the total moment is 0.00 μB per formula unit.


## iv
Compound: HgPb2Se
Source: Alexandria via LeMat-Bulk
Functional: PBE
Structure: relaxed

The space group is P4mm (No. 99) and the conventional cell measures 4.3908, 4.3908 and 6.1728 Å, with angles of 90.00, 90.00 and 90.00 degrees. Symmetry generates all atoms from Hg at (0.0000, 0.0000, 0.0000), Pb at (0.0000, 0.0000, 0.5004), Pb at (0.5000, 0.5000, 0.0022) and Se at (0.5000, 0.5000, 0.5005).

The value obtained for the density of states at the Fermi level is 0.516 states/eV/atom. The value obtained for the total moment is 0.00 μB per formula unit.


Most stable one: iv, least stable one: iii.


## i
Compound: HgPb2Se
Source: Alexandria via LeMat-Bulk
Functional: PBE
Structure: relaxed

The space group is R3m (No. 160, hexagonal axes) and the conventional cell measures 4.0271, 4.0271 and 25.5352 Å, with angles of 90.00, 90.00 and 120.00 degrees. Symmetry generates all atoms from Hg at (0.0000, 0.0000, 0.0000), Pb at (0.0000, 0.0000, 0.5207), Pb at (0.0000, 0.0000, 0.7477) and Se at (0.0000, 0.0000, 0.2581).

The value obtained for the density of states at the Fermi level is 0.404 states/eV/atom. The value obtained for the total moment is 0.00 μB per formula unit.


## ii
Compound: HgPb2Se
Source: Alexandria via LeMat-Bulk
Functional: PBE
Structure: relaxed

The space group is Cm (No. 8) and the conventional cell measures 12.0468, 4.0931 and 4.8718 Å, with angles of 90.00, 100.39 and 90.00 degrees. Symmetry generates all atoms from Hg at (0.0000, 0.0000, 0.0000), Pb at (0.0053, 0.5000, 0.4916), Pb at (0.2598, 0.0000, 0.9300) and Se at (0.2441, 0.5000, 0.4853).

The value obtained for the density of states at the Fermi level is 0.200 states/eV/atom. The value obtained for the total moment is 0.00 μB per formula unit.


Most stable one: ii, least stable one: i.


## i
Compound: HgPb2Se
Source: Alexandria via LeMat-Bulk
Functional: PBE
Structure: relaxed

The space group is Immm (No. 71) and the conventional cell measures 4.1085, 5.8633 and 9.7080 Å, with angles of 90.00, 90.00 and 90.00 degrees. Symmetry generates all atoms from Hg at (0.0000, 0.0000, 0.0000), Pb at (0.0000, 0.5000, 0.2261) and Se at (0.0000, 0.0000, 0.5000).

The value obtained for the density of states at the Fermi level is 0.373 states/eV/atom. The value obtained for the total moment is 0.00 μB per formula unit.


## ii
Compound: HgPb2Se
Source: Alexandria via LeMat-Bulk
Functional: PBE
Structure: relaxed

The space group is Imm2 (No. 44) and the conventional cell measures 4.2043, 4.5365 and 12.3955 Å, with angles of 90.00, 90.00 and 90.00 degrees. Symmetry generates all atoms from Hg at (0.0000, 0.0000, 0.0000), Pb at (0.0000, 0.0000, 0.5747), Pb at (0.0000, 0.5000, 0.8027) and Se at (0.0000, 0.5000, 0.2597).

The value obtained for the density of states at the Fermi level is 0.365 states/eV/atom. The value obtained for the total moment is 0.00 μB per formula unit.


Most stable one: ii, least stable one: i.


## i
Compound: HgPb2Se
Source: Alexandria via LeMat-Bulk
Functional: PBE
Structure: relaxed

The space group is I4/mmm (No. 139) and the conventional cell measures 5.0144, 5.0144 and 8.8429 Å, with angles of 90.00, 90.00 and 90.00 degrees. Symmetry generates all atoms from Hg at (0.0000, 0.0000, 0.0000), Pb at (0.0000, 0.5000, 0.2500) and Se at (0.0000, 0.0000, 0.5000).

The value obtained for the density of states at the Fermi level is 0.435 states/eV/atom. The value obtained for the total moment is 0.00 μB per formula unit.


## ii
Compound: HgPb2Se
Source: Alexandria via LeMat-Bulk
Functional: PBE
Structure: relaxed

The space group is C2/m (No. 12) and the conventional cell measures 10.6501, 4.1014 and 5.8840 Å, with angles of 90.00, 115.70 and 90.00 degrees. Symmetry generates all atoms from Hg at (0.0000, 0.0000, 0.0000), Pb at (0.2292, 0.0000, 0.7256) and Se at (0.0000, 0.5000, 0.5000).

The value obtained for the density of states at the Fermi level is 0.446 states/eV/atom. The value obtained for the total moment is 0.00 μB per formula unit.


Most stable one: ii, least stable one: i.


## i
Compound: Hg3PbSe
Source: Alexandria via LeMat-Bulk
Functional: PBE
Structure: relaxed

The space group is Pm-3m (No. 221) and the conventional cell measures 5.7364, 5.7364 and 5.7364 Å, with angles of 90.00, 90.00 and 90.00 degrees. Symmetry generates all atoms from Hg at (0.0000, 0.0000, 0.5000), Pb at (0.0000, 0.0000, 0.0000) and Se at (0.5000, 0.5000, 0.5000).

The value obtained for the density of states at the Fermi level is 1.441 states/eV/atom. The value obtained for the total moment is 0.87 μB per formula unit.


## ii
Compound: Hg3PbSe
Source: Alexandria via LeMat-Bulk
Functional: PBE
Structure: relaxed

The space group is Pm-3m (No. 221) and the conventional cell measures 5.4668, 5.4668 and 5.4668 Å, with angles of 90.00, 90.00 and 90.00 degrees. Symmetry generates all atoms from Hg at (0.0000, 0.0000, 0.5000), Pb at (0.5000, 0.5000, 0.5000) and Se at (0.0000, 0.0000, 0.0000).

The value obtained for the density of states at the Fermi level is 0.726 states/eV/atom. The value obtained for the total moment is 0.00 μB per formula unit.


Most stable one: ii, least stable one: i.


## i
Compound: TlHgPbSe
Source: Alexandria via LeMat-Bulk
Functional: PBE
Structure: relaxed

The space group is R-3m (No. 166, hexagonal axes) and the conventional cell measures 5.1460, 5.1460 and 36.0383 Å, with angles of 90.00, 90.00 and 120.00 degrees. Symmetry generates all atoms from Tl at (0.0000, 0.0000, 0.1063), Hg at (0.0000, 0.0000, 0.1940), Pb at (0.0000, 0.0000, 0.2930) and Se at (0.0000, 0.0000, 0.3768).

The value obtained for the density of states at the Fermi level is 0.278 states/eV/atom. The value obtained for the total moment is 0.00 μB per formula unit.


## ii
Compound: TlHgPbSe
Source: Alexandria via LeMat-Bulk
Functional: PBE
Structure: relaxed

The space group is F-43m (No. 216) and the conventional cell measures 7.6770, 7.6770 and 7.6770 Å, with angles of 90.00, 90.00 and 90.00 degrees. Symmetry generates all atoms from Tl at (0.0000, 0.0000, 0.0000), Hg at (0.2500, 0.2500, 0.2500), Pb at (0.0000, 0.0000, 0.5000) and Se at (0.2500, 0.2500, 0.7500).

The value obtained for the density of states at the Fermi level is 0.598 states/eV/atom. The value obtained for the total moment is 0.00 μB per formula unit.


Most stable one: i, least stable one: ii.